[1]
VASP calculation (PBE-GGA) on a relaxed structure of CeLuThZn.

abc: 5.344 5.344 5.344
angles: 60.00 60.00 60.00
Element x y z (fractional)
Ce1 0.000 0.000 0.000
Lu1 0.250 0.250 0.250
Th1 0.500 0.500 0.500
Zn1 0.750 0.750 0.750

Values from the calculation:
crystal system: cubic
SG: F-43m
density of states at the Fermi level: 9.211 states/eV per cell

[2]
VASP calculation (PBE-GGA) on a relaxed structure of Ce2LuTi.

abc: 4.562 4.562 4.858
angles: 90.00 90.00 90.00
Element x y z (fractional)
Ce1 0.000 0.500 0.000
Ce2 0.500 0.000 0.000
Lu1 0.000 0.000 0.500
Ti1 0.500 0.500 0.500

Values from the calculation:
crystal system: tetragonal
SG: P4/mmm
excess energy over the best structure of this formula in the dataset: 29 meV per atom
density of states at the Fermi level: 10.566 states/eV per cell

| no. | energy of formation (eV/atom) | density (Mg/m³) | electronic total energy (eV/atom) |
| --- | --- | --- | --- |
| 1 | 0.108 | 9.4 | -4.679 |
| 2 | 0.202 | 8.3 | -5.869 |